No. 1
Computed, not measured: crystalline HfTiO at its relaxed geometry at the GGA-PBE level of DFT.

Cell and atoms, written as extended XYZ:
```
3
Lattice="4.979 0.000 0.000 0.000 3.118 0.000 0.000 -1.559 2.700" Properties=species:S:1:pos:R:3 pbc="T T T"
Hf 0.315 0.000 0.000
Ti 2.956 0.000 1.800
O 1.707 1.559 0.900
```

Summary:
- M_tot (μB/f.u.) = 0.00
- raw formation energy (eV/atom) = -1.727

***

No. 2
Computed, not measured: crystalline HfTi2O at its relaxed geometry at the GGA-PBE level of DFT.

Cell and atoms, written as extended XYZ:
```
4
Lattice="3.038 0.000 0.000 1.519 2.631 0.000 1.519 0.877 7.423" Properties=species:S:1:pos:R:3 pbc="T T T"
O 0.000 0.000 0.000
Ti 4.557 2.631 6.182
Ti 1.519 0.877 1.241
Hf 3.038 1.754 3.712
```

Summary:
- M_tot (μB/f.u.) = 0.00
- raw formation energy (eV/atom) = -1.276

***

No. 3
Computed, not measured: crystalline HfTiO2 at its relaxed geometry at the GGA-PBE level of DFT.

Cell and atoms, written as extended XYZ:
```
8
Lattice="4.792 0.000 0.000 0.000 4.792 0.000 2.396 2.396 4.829" Properties=species:S:1:pos:R:3 pbc="T T T"
Hf 0.000 0.000 0.000
Hf 4.792 2.396 2.415
O 5.991 5.949 3.622
Ti 2.396 2.396 0.000
O 1.239 3.594 1.207
Ti 2.396 4.792 2.415
O 3.594 3.636 3.622
O 3.553 1.198 1.207
```

Summary:
- M_tot (μB/f.u.) = 0.00
- raw formation energy (eV/atom) = -2.144

***

No. 4
Computed, not measured: crystalline HfTiO at its relaxed geometry at the GGA-PBE level of DFT.

Cell and atoms, written as extended XYZ:
```
6
Lattice="2.973 -0.420 -0.117 -2.246 5.370 1.003 -1.424 -0.919 5.689" Properties=species:S:1:pos:R:3 pbc="T T T"
Hf -0.540 0.888 2.413
O -1.666 2.772 5.693
O 0.969 1.260 0.882
Ti 0.997 0.323 5.011
Ti -1.694 3.709 1.564
Hf -0.157 3.144 4.162
```

Summary:
- M_tot (μB/f.u.) = 0.00
- raw formation energy (eV/atom) = -1.625

***

No. 5
Computed, not measured: crystalline HfTi2O at its relaxed geometry at the GGA-PBE level of DFT.

Cell and atoms, written as extended XYZ:
```
4
Lattice="-1.748 -2.494 -0.136 -0.042 -1.695 -2.533 5.034 -5.486 1.754" Properties=species:S:1:pos:R:3 pbc="T T T"
O 3.822 -8.265 -0.034
Ti 4.118 -4.821 1.324
Ti 0.327 -2.067 -0.456
Hf 1.633 -4.845 -0.452
```

Summary:
- M_tot (μB/f.u.) = 0.00
- raw formation energy (eV/atom) = -1.220

***

No. 6
Computed, not measured: crystalline HfTi3O at its relaxed geometry at the GGA-PBE level of DFT.

Cell and atoms, written as extended XYZ:
```
20
Lattice="2.961 0.000 0.000 0.000 7.577 0.000 0.000 0.000 14.111" Properties=species:S:1:pos:R:3 pbc="T T T"
Ti 2.221 7.037 9.125
Ti 0.740 4.329 2.070
Ti 2.221 0.529 12.047
Hf 0.740 5.691 6.722
Ti 2.221 3.248 12.041
Hf 2.221 5.674 13.777
O 2.221 3.794 3.530
Ti 2.221 1.900 2.818
Ti 0.740 3.259 4.991
Ti 0.740 7.048 2.064
Ti 2.221 4.318 9.120
O 2.221 0.005 3.525
Ti 0.740 0.540 4.986
O 0.740 7.572 10.586
O 0.740 3.784 10.581
Ti 2.221 5.689 4.238
Hf 0.740 1.903 0.334
Ti 0.740 5.677 11.293
Ti 0.740 1.888 9.873
Hf 2.221 1.886 7.389
```

Summary:
- M_tot (μB/f.u.) = 0.00
- raw formation energy (eV/atom) = -1.005

***

No. 7
Computed, not measured: crystalline HfTi3O at its relaxed geometry at the GGA-PBE level of DFT.

Cell and atoms, written as extended XYZ:
```
10
Lattice="4.833 0.000 0.000 0.000 5.323 0.003 0.000 0.002 6.032" Properties=species:S:1:pos:R:3 pbc="T T T"
Ti 4.459 2.797 5.753
Ti 2.042 4.406 5.722
Ti 4.461 2.796 2.704
O 0.842 3.563 4.229
Hf 4.506 0.130 1.209
Ti 4.475 5.302 4.228
Ti 2.059 1.900 1.214
Ti 2.044 4.406 2.738
Hf 2.089 1.750 4.230
O 3.259 3.639 1.213
```

Summary:
- M_tot (μB/f.u.) = 0.00
- raw formation energy (eV/atom) = -1.098

***

No. 8
Computed, not measured: crystalline HfTi2O2 at its relaxed geometry at the GGA-PBE level of DFT.

Cell and atoms, written as extended XYZ:
```
5
Lattice="3.883 0.000 0.000 0.000 3.883 0.000 0.000 0.000 5.216" Properties=species:S:1:pos:R:3 pbc="T T T"
Ti 0.000 0.000 0.000
Ti 0.000 0.000 2.608
O 0.000 1.942 0.000
O 1.942 0.000 0.000
Hf 1.942 1.942 2.608
```

Summary:
- M_tot (μB/f.u.) = 0.00
- raw formation energy (eV/atom) = -0.707

***

No. 9
Computed, not measured: crystalline Hf3TiO at its relaxed geometry at the GGA-PBE level of DFT.

Cell and atoms, written as extended XYZ:
```
5
Lattice="4.867 0.000 0.000 0.000 4.867 0.000 0.000 0.000 4.867" Properties=species:S:1:pos:R:3 pbc="T T T"
Hf 0.000 2.434 0.000
Hf 0.000 0.000 2.434
Ti 0.000 0.000 0.000
O 2.434 2.434 2.434
Hf 2.434 0.000 0.000
```

Summary:
- M_tot (μB/f.u.) = 0.00
- raw formation energy (eV/atom) = 1.260

***

No. 10
Computed, not measured: crystalline HfTi3O at its relaxed geometry at the GGA-PBE level of DFT.

Cell and atoms, written as extended XYZ:
```
5
Lattice="4.849 0.000 0.000 0.000 4.849 0.000 0.000 0.000 4.849" Properties=species:S:1:pos:R:3 pbc="T T T"
Ti 0.000 0.000 2.425
O 2.425 2.425 2.425
Ti 0.000 2.425 0.000
Hf 0.000 0.000 0.000
Ti 2.425 0.000 0.000
```

Summary:
- M_tot (μB/f.u.) = 2.23
- raw formation energy (eV/atom) = 1.629

***

No. 11
Computed, not measured: crystalline Hf2TiO6 at its relaxed geometry at the GGA-PBE level of DFT.

Cell and atoms, written as extended XYZ:
```
18
Lattice="4.789 0.000 0.000 0.000 4.789 0.000 0.000 0.000 9.434" Properties=species:S:1:pos:R:3 pbc="T T T"
Hf 0.000 0.000 1.577
Hf 0.000 0.000 7.857
O 0.917 3.872 3.213
Hf 2.394 2.394 6.294
O 3.311 3.311 7.930
O 0.917 3.872 6.222
O 3.872 0.917 6.222
O 1.422 1.422 4.717
O 3.872 0.917 3.213
O 1.478 1.478 7.930
Ti 2.394 2.394 0.000
O 3.816 0.972 0.000
Hf 2.394 2.394 3.140
O 0.972 3.816 0.000
O 3.311 3.311 1.505
O 1.478 1.478 1.505
Ti 0.000 0.000 4.717
O 3.367 3.367 4.717
```

Summary:
- M_tot (μB/f.u.) = 0.00
- raw formation energy (eV/atom) = -3.336

***

No. 12
Computed, not measured: crystalline HfTi2O5 at its relaxed geometry at the GGA-PBE level of DFT.

Cell and atoms, written as extended XYZ:
```
32
Lattice="5.328 0.000 0.000 0.000 6.890 -2.657 0.000 0.050 10.180" Properties=species:S:1:pos:R:3 pbc="T T T"
O 0.871 0.227 1.896
O 4.489 2.531 3.301
O 1.651 1.748 4.426
Ti 0.034 4.101 2.226
Ti 5.294 2.839 5.297
Ti 2.698 0.681 8.644
Hf 0.000 3.445 -1.328
Ti 2.630 4.126 7.316
O 1.825 6.002 7.063
O 4.489 0.964 5.550
O 1.793 0.252 6.986
Ti 0.034 6.285 3.969
O 0.839 5.977 1.973
O 0.839 4.409 4.222
Ti 2.630 6.260 -1.121
O 3.677 5.193 3.097
Hf 2.664 3.470 3.762
O 4.457 3.672 0.567
Ti 5.294 0.656 3.554
O 3.536 3.698 5.657
O 4.315 5.218 8.187
O 3.503 2.556 8.392
O 1.825 4.384 -0.868
Ti 2.698 2.814 0.207
Hf 2.664 0.025 5.090
O 0.871 3.268 6.956
O 1.013 1.723 -0.664
O 1.793 3.243 1.866
O 3.535 6.689 0.538
O 3.503 0.939 0.460
O 4.457 6.714 5.628
Hf 0.000 0.000 0.000
```

Summary:
- M_tot (μB/f.u.) = 1.46
- raw formation energy (eV/atom) = -3.031